1.
Below is Tb2PrCd after structural relaxation, with properties calculated at the PBE-GGA level.

Cell: 7.799 7.799 7.799 Å, 90.00 90.00 90.00°
Positions (direct):
Tb1 0.250 0.250 0.250
Tb2 0.250 0.250 0.750
Tb3 0.250 0.750 0.250
Tb4 0.250 0.750 0.750
Tb5 0.750 0.250 0.250
Tb6 0.750 0.250 0.750
Tb7 0.750 0.750 0.250
Tb8 0.750 0.750 0.750
Pr1 0.000 0.000 0.000
Pr2 0.000 0.500 0.500
Pr3 0.500 0.000 0.500
Pr4 0.500 0.500 0.000
Cd1 0.000 0.000 0.500
Cd2 0.000 0.500 0.000
Cd3 0.500 0.000 0.000
Cd4 0.500 0.500 0.500

The value obtained for the density of states at the Fermi level is 25.99 states/eV per cell. The space group is Fm-3m, No. 225. For the density, the calculation gives 8.0 g/cm³. The spin magnetization is 0.01 μB per formula unit. The relative energy among the computed polymorphs comes out at 161 meV per atom.

---

2.
Below is SrCa4Zn after structural relaxation, with properties calculated at the PBE-GGA level.

Cell: 7.140 7.140 7.140 Å, 60.00 60.00 60.00°
Positions (direct):
Sr1 0.000 0.000 0.000
Ca1 0.375 0.375 0.375
Ca2 0.375 0.375 0.874
Ca3 0.375 0.874 0.375
Ca4 0.874 0.375 0.375
Zn1 0.750 0.750 0.750

The value obtained for the density of states at the Fermi level is 5.00 states/eV per cell. The space group is F-43m, No. 216. For the density, the calculation gives 2.0 g/cm³. The spin magnetization is 0.00 μB per formula unit. The relative energy among the computed polymorphs comes out at 336 meV per atom.